[1]
First-principles (PBE) data for an optimized crystal structure of SmTmZnAg, as listed in the Alexandria database.

Summary:
Space group ... F-43m (216)
E_tot ... -3.639 eV/atom
Calculated formation energy ... -0.31 eV/atom

Cell lengths 5.1200, 5.1200, 5.1200 Å; angles 60.00, 60.00, 60.00 degrees
Sites, in units of the cell vectors:
Sm (0.7500, 0.7500, 0.7500)
Tm (0.2500, 0.2500, 0.2500)
Zn (0.0000, 0.0000, 0.0000)
Ag (0.5000, 0.5000, 0.5000)

---

[2]
First-principles (PBE) data for an optimized crystal structure of SmTmZnAg, as listed in the Alexandria database.

Summary:
Space group ... P4mm (99)
E_tot ... -3.653 eV/atom
Calculated formation energy ... -0.32 eV/atom

Cell lengths 3.6011, 3.6011, 7.2729 Å; angles 90.00, 90.00, 90.00 degrees
Sites, in units of the cell vectors:
Zn (0.5000, 0.5000, 0.5922)
Tm (0.0000, 0.0000, 0.3626)
Ag (0.5000, 0.5000, 0.1260)
Sm (0.0000, 0.0000, 0.8471)

---

[3]
First-principles (PBE) data for an optimized crystal structure of SmY5Ag6, as listed in the Alexandria database.

Summary:
Space group ... Cmmm (65)
E_tot ... -4.835 eV/atom
Calculated formation energy ... -0.32 eV/atom

Cell lengths 5.1911, 7.2596, 8.2116 Å; angles 90.00, 71.57, 90.00 degrees
Sites, in units of the cell vectors:
Y (0.6662, 0.5000, 0.6677)
Y (0.3328, 0.0000, 0.3344)
Y (0.3338, 0.5000, 0.3323)
Y (0.0000, 0.5000, 0.0000)
Y (0.6672, 0.0000, 0.6656)
Ag (0.1683, 0.7477, 0.6634)
Ag (0.5000, 0.7460, 0.0000)
Ag (0.5000, 0.2540, 0.0000)
Ag (0.1683, 0.2523, 0.6634)
Ag (0.8317, 0.2523, 0.3366)
Ag (0.8317, 0.7477, 0.3366)
Sm (0.0000, 0.0000, 0.0000)

---

[4]
First-principles (PBE) data for an optimized crystal structure of SmYAg4, as listed in the Alexandria database.

Summary:
Space group ... C2/m (12)
E_tot ... -4.057 eV/atom
Calculated formation energy ... -0.29 eV/atom

Cell lengths 5.3430, 5.3462, 5.3884 Å; angles 60.26, 89.96, 89.91 degrees
Sites, in units of the cell vectors:
Ag (0.0013, 0.1711, 0.1568)
Ag (0.0013, 0.8325, 0.8341)
Ag (0.5013, 0.6743, 0.1508)
Ag (0.5013, 0.3296, 0.8400)
Sm (0.0013, 0.5018, 0.4954)
Y (0.5013, 0.0019, 0.4954)

---

[5]
First-principles (PBE) data for an optimized crystal structure of Sm3YAg, as listed in the Alexandria database.

Summary:
Space group ... C2/m (12)
E_tot ... -4.678 eV/atom
Calculated formation energy ... 0.02 eV/atom

Cell lengths 6.8392, 6.8392, 8.6414 Å; angles 89.92, 119.82, 111.93 degrees
Sites, in units of the cell vectors:
Sm (0.7397, 0.9190, 0.1545)
Sm (0.7644, 0.5851, 0.8455)
Sm (0.2356, 0.4149, 0.1545)
Sm (0.1879, 0.5516, 0.7395)
Sm (0.2603, 0.0810, 0.8455)
Sm (0.8121, 0.4484, 0.2605)
Ag (0.7394, 0.7589, 0.4982)
Ag (0.2606, 0.2411, 0.5018)
Y (0.3147, 0.9425, 0.2571)
Y (0.6853, 0.0575, 0.7429)

---

[6]
First-principles (PBE) data for an optimized crystal structure of SmYAg4, as listed in the Alexandria database.

Summary:
Space group ... F-43m (216)
E_tot ... -3.935 eV/atom
Calculated formation energy ... -0.17 eV/atom

Cell lengths 5.7373, 5.7373, 5.7373 Å; angles 60.00, 60.00, 60.00 degrees
Sites, in units of the cell vectors:
Y (0.2500, 0.2500, 0.2500)
Ag (0.6248, 0.6248, 0.6248)
Ag (0.6248, 0.1256, 0.6248)
Ag (0.1256, 0.6248, 0.6248)
Ag (0.6248, 0.6248, 0.1256)
Sm (0.0000, 0.0000, 0.0000)